# 1
# Rb8SI5

A relaxed Rb8SI5 crystal (PBE, Alexandria via LeMat-Bulk).

```
Rb8SI5
1.0
9.1094 0.3694 -3.0466
-4.6246 7.8569 -3.0466
-0.2014 -0.3694 9.6032
Rb S I
8 1 5
Cartesian
-3.3206 5.7372 -0.9159 Rb
0.4696 3.1841 0.6118 Rb
1.3886 6.8573 -0.6127 Rb
-1.3870 3.9971 5.0180 Rb
5.3893 3.3441 -1.1260 Rb
-3.5311 7.5398 3.5477 Rb
1.2151 6.7402 3.7766 Rb
3.1759 1.5153 3.7408 Rb
-1.2918 5.8003 1.7550 S
6.6921 1.9928 4.8782 I
3.8334 4.8767 1.8932 I
3.4138 0.2045 0.0509 I
2.2424 4.1131 -3.0466 I
8.3615 1.1523 0.1978 I
```

Results
The final energy is -0.0962 hartree per atom. The value obtained for the formation energy (no corrections) is -17.04 eV per formula unit. As for the density of states at the Fermi level: 0.192 states/eV/atom.

# 2
# ZrSnH

A relaxed ZrSnH crystal (PBE, Alexandria via LeMat-Bulk).

```
ZrSnH
1.0
4.5772 0.0000 0.0000
0.0000 3.5103 0.0000
0.0000 -1.7552 3.0400
H Sn Zr
1 1 1
Cartesian
0.7638 0.0000 0.0000 H
3.0511 0.0000 2.0267 Sn
0.7623 1.7552 1.0133 Zr
```

Results
The final energy is -0.2124 hartree per atom. As for the density of states at the Fermi level: 0.422 states/eV/atom. The energy above the most stable polymorph in this dataset comes out at 0 meV per atom.

# 3
# ZnAsHBr2

A relaxed ZnAsHBr2 crystal (PBE, Alexandria via LeMat-Bulk).

```
ZnAsHBr2
1.0
-1.7805 -3.2127 -3.8281
3.3461 -3.7848 1.6201
-3.4314 -1.7293 3.0473
H As Zn Br
1 1 1 2
Cartesian
-0.9329 -4.3634 0.4196 H
-1.7157 -0.8646 1.5236 As
0.0000 0.0000 0.0000 Zn
1.6731 -1.8924 0.8100 Br
-0.8902 -1.6064 -1.9140 Br
```

Results
The final energy is -0.0709 hartree per atom. As for the density of states at the Fermi level: 0.641 states/eV/atom. The energy above the most stable polymorph in this dataset comes out at 193 meV per atom.

# 4
# Rb2HgHCl6

A relaxed Rb2HgHCl6 crystal (PBE, Alexandria via LeMat-Bulk).

```
Rb2HgHCl6
1.0
7.9148 0.0000 0.0000
0.0000 7.9148 0.0000
3.9574 3.9574 4.5469
H Hg Rb Cl
1 1 2 6
Cartesian
3.9574 3.9574 0.0000 H
0.0000 0.0000 0.0000 Hg
7.9148 3.9574 2.2735 Rb
3.9574 7.9148 2.2735 Rb
3.9574 3.9574 1.5529 Cl
7.9148 7.9148 2.9940 Cl
1.7607 1.7607 0.0000 Cl
6.1541 6.1541 0.0000 Cl
6.1541 1.7607 0.0000 Cl
1.7607 6.1541 0.0000 Cl
```

Results
The final energy is -0.0984 hartree per atom. As for the density of states at the Fermi level: 0.135 states/eV/atom.

# 5
# Ce2YRh

A relaxed Ce2YRh crystal (PBE, Alexandria via LeMat-Bulk).

```
Ce2YRh
1.0
3.7989 0.0000 0.0000
1.8994 3.2899 0.0000
1.8994 1.0966 9.1472
Ce Y Rh
2 1 1
Cartesian
1.8994 1.0966 7.4085 Ce
1.8994 1.0966 1.7380 Ce
3.7989 2.1933 4.5875 Y
5.6983 3.2899 9.1339 Rh
```

Results
The final energy is -0.2449 hartree per atom. The energy of formation comes out at -0.24 eV per atom. As for the density of states at the Fermi level: 2.282 states/eV/atom. The energy above the most stable polymorph in this dataset comes out at 148 meV per atom.

# 6
# BeOs3Se

A relaxed BeOs3Se crystal (PBE, Alexandria via LeMat-Bulk).

```
BeOs3Se
1.0
4.4972 0.0000 0.0000
0.0000 4.4972 0.0000
0.0000 0.0000 4.4972
Be Os Se
1 3 1
Cartesian
2.2486 2.2486 2.2486 Be
0.0000 2.2486 0.0000 Os
0.0000 0.0000 2.2486 Os
2.2486 0.0000 0.0000 Os
0.0000 0.0000 0.0000 Se
```

Results
The final energy is -0.2270 hartree per atom. The value obtained for the formation energy (no corrections) is 10.01 eV per formula unit. As for the density of states at the Fermi level: 1.233 states/eV/atom. The energy above the most stable polymorph in this dataset comes out at 837 meV per atom.

# 7
# NdTh2Fe

A relaxed NdTh2Fe crystal (PBE, Alexandria via LeMat-Bulk).

```
NdTh2Fe
1.0
-0.7577 -0.8406 -3.7118
1.4442 -3.2311 -1.5915
-7.0999 -5.8737 0.7511
Nd Th Fe
1 2 1
Cartesian
-3.1963 -4.9663 -2.2797 Nd
-5.8596 -5.1093 0.3248 Th
-0.9968 -2.1125 -1.3465 Th
0.4325 -2.7300 -3.5269 Fe
```

Results
The final energy is -0.2568 hartree per atom. The energy of formation comes out at 0.03 eV per atom. As for the density of states at the Fermi level: 1.398 states/eV/atom. The energy above the most stable polymorph in this dataset comes out at 72 meV per atom.

# 8
# NiRu2

A relaxed NiRu2 crystal (PBE, Alexandria via LeMat-Bulk).

```
NiRu2
1.0
2.6160 0.0000 0.0000
0.0000 3.8293 0.0000
0.0000 0.0000 17.2537
Ru Ni
8 4
Cartesian
0.0000 0.9573 0.7087 Ru
0.0000 0.9573 3.2460 Ru
0.0000 2.8720 14.0077 Ru
0.0000 2.8720 16.5450 Ru
1.3080 0.9573 5.3809 Ru
1.3080 0.9573 7.9181 Ru
1.3080 2.8720 9.3356 Ru
1.3080 2.8720 11.8728 Ru
0.0000 0.9573 10.7848 Ni
0.0000 2.8720 6.4689 Ni
1.3080 0.9573 15.0958 Ni
1.3080 2.8720 2.1579 Ni
```

Results
The final energy is -0.2802 hartree per atom. The energy of formation comes out at 0.49 eV per atom. As for the density of states at the Fermi level: 1.170 states/eV/atom. The energy above the most stable polymorph in this dataset comes out at 439 meV per atom.

# 9
# ZnCd2Cl

A relaxed ZnCd2Cl crystal (PBE, Alexandria via LeMat-Bulk).

```
ZnCd2Cl
1.0
-2.4847 1.4519 -1.1040
-1.5565 -4.6163 -2.5679
-3.9441 -5.1484 2.1061
Cd Cl Zn
2 1 1
Cartesian
0.0000 0.0000 0.0000 Cd
-2.0206 -1.5822 -1.8359 Cd
-3.9926 -4.1565 -0.7829 Cl
-1.9721 -2.5742 1.0530 Zn
```

Results
The final energy is -0.0485 hartree per atom. The value obtained for the formation energy (no corrections) is -0.32 eV per formula unit. As for the density of states at the Fermi level: 0.286 states/eV/atom. The energy above the most stable polymorph in this dataset comes out at 166 meV per atom.

# 10
# ScOs

A relaxed ScOs crystal (PBE, Alexandria via LeMat-Bulk).

```
ScOs
1.0
-1.3599 -2.0110 -1.6262
-1.0082 -2.1970 3.5599
-4.6388 2.8012 0.4151
Os Sc
2 2
Cartesian
-0.0393 0.0237 0.0035 Os
-4.6238 -0.0268 1.2746 Os
-2.4461 1.4771 0.2189 Sc
-2.2170 -1.4802 1.0593 Sc
```

Results
The final energy is -0.3233 hartree per atom. The energy of formation comes out at -0.02 eV per atom. As for the density of states at the Fermi level: 1.040 states/eV/atom.

# 11
# CrFeNi

A relaxed CrFeNi crystal (PBE, Alexandria via LeMat-Bulk).

```
CrFeNi
1.0
-0.9005 -4.2281 -0.4970
2.1289 -2.9372 2.4033
-2.6239 3.4705 -0.0798
Cr Fe Ni
1 1 1
Cartesian
0.0000 0.0000 0.0000 Cr
0.4089 -2.3849 0.6345 Fe
0.8195 -4.7804 1.2718 Ni
```

Results
The final energy is -0.2904 hartree per atom. The energy of formation comes out at 0.05 eV per atom. As for the density of states at the Fermi level: 1.253 states/eV/atom. The energy above the most stable polymorph in this dataset comes out at 3 meV per atom.

# 12
# ZnSiHg

A relaxed ZnSiHg crystal (PBE, Alexandria via LeMat-Bulk).

```
ZnSiHg
1.0
6.0508 0.0931 0.0122
4.1163 4.4359 -0.0122
-4.7539 -3.0044 2.2348
Hg Si Zn
1 1 1
Cartesian
0.0179 0.0080 0.0000 Hg
3.0820 1.3729 0.0000 Si
7.0672 3.1482 0.0000 Zn
```

Results
The final energy is -0.0723 hartree per atom. The value obtained for the formation energy (no corrections) is 1.10 eV per formula unit. As for the density of states at the Fermi level: 0.412 states/eV/atom.